The following is a GGA-PBE calculation of crystalline PrSm2Cu at its relaxed geometry, from the Alexandria database.

The value obtained for the density is 7.3 g/cm3. The calculated formation energy is -72 meV per atom. For the total magnetization, the calculation gives 0.00 μB/cell. Its calculated total energy is -4.65 eV per atom.

The structure belongs to space group P4/mmm (No. 123); the cell edges are 3.605, 3.605 and 8.815 Å and the angles 90.00°, 90.00° and 90.00°. Symmetry generates all atoms from Pr at (0.000, 0.000, 0.000), Sm at (0.500, 0.500, 0.307) and Cu at (0.000, 0.000, 0.500).

The following is a GGA-PBE calculation of crystalline Pr4SmCu5 at its relaxed geometry, from the Alexandria database.

The value obtained for the density is 7.3 g/cm3. The calculated formation energy is -131 meV per atom. For the total magnetization, the calculation gives 0.00 μB/cell. Its calculated total energy is -4.56 eV per atom.

The structure belongs to space group P4/mmm (No. 123); the cell edges are 3.587, 3.587 and 18.198 Å and the angles 90.00°, 90.00° and 90.00°. Symmetry generates all atoms from Pr at (0.000, 0.000, 0.101), Pr at (0.000, 0.000, 0.302), Sm at (0.000, 0.000, 0.500), Cu at (0.500, 0.500, 0.000), Cu at (0.500, 0.500, 0.201) and Cu at (0.500, 0.500, 0.406).

The following is a GGA-PBE calculation of crystalline Pr2SmCu9 at its relaxed geometry, from the Alexandria database.

The value obtained for the density is 8.3 g/cm3. The calculated formation energy is -132 meV per atom. For the total magnetization, the calculation gives 0.00 μB/cell. Its calculated total energy is -4.39 eV per atom.

The structure belongs to space group R-3m (No. 166, hexagonal axes); the cell edges are 5.2496, 5.2496 and 25.3964 Å and the angles 90.00°, 90.00° and 120.00°. Symmetry generates all atoms from Pr at (0.0000, 0.0000, 0.1422), Sm at (0.0000, 0.0000, 0.0000), Cu at (0.0000, 0.0000, 0.3315), Cu at (0.0000, 0.0000, 0.5000) and Cu at (0.0053, 0.5027, 0.0797).

The following is a GGA-PBE calculation of crystalline PrSm2Cu at its relaxed geometry, from the Alexandria database.

The value obtained for the density is 7.2 g/cm3. The calculated formation energy is -64 meV per atom. For the total magnetization, the calculation gives 0.00 μB/cell. Its calculated total energy is -4.64 eV per atom.

The structure belongs to space group Pnma (No. 62); the cell edges are 6.996, 10.118 and 6.595 Å and the angles 90.00°, 90.00° and 90.00°. Symmetry generates all atoms from Pr at (0.017, 0.250, 0.139), Sm at (0.188, 0.058, 0.675) and Cu at (0.104, 0.750, 0.426).